No. 1
LaReAu2: PBEsol geometry, SCAN.

Values from the calculation:
E_form ... 149 meV per atom

abc: 6.000 8.312 3.031
angles: 90.00 90.00 90.00
Space group Cmmm (No. 65)
Inequivalent atoms, fractional coordinates:
La 0.000 0.000 0.000 (multiplicity 2)
Re 0.000 0.500 0.000 (multiplicity 2)
Au 0.250 0.250 0.500 (multiplicity 4)

---

No. 2
MoIr2Cl: PBEsol geometry, SCAN.

Values from the calculation:
E_form (uncorrected) ... 1.0549 eV per atom

abc: 4.700 4.700 2.731
angles: 90.00 90.00 90.00
Space group P4/mmm (No. 123)
Inequivalent atoms, fractional coordinates:
Mo 0.000 0.000 0.000 (multiplicity 1)
Ir 0.000 0.500 0.500 (multiplicity 2)
Cl 0.500 0.500 0.000 (multiplicity 1)

---

No. 3
Ca3SbPd: PBEsol geometry, SCAN.

Values from the calculation:
E_form (uncorrected) ... -0.6027 eV per atom

abc: 5.349 5.349 5.349
angles: 90.00 90.00 90.00
Space group Pm-3m (No. 221)
Inequivalent atoms, fractional coordinates:
Ca 0.000 0.000 0.500 (multiplicity 3)
Sb 0.500 0.500 0.500 (multiplicity 1)
Pd 0.000 0.000 0.000 (multiplicity 1)

---

No. 4
YInRu2Au: PBEsol geometry, SCAN.

Values from the calculation:
E_form ... 1394 meV per atom

abc: 4.766 4.766 5.180
angles: 90.00 90.00 90.00
Space group P4/mmm (No. 123)
Inequivalent atoms, fractional coordinates:
Y 0.000 0.000 0.000 (multiplicity 1)
In 0.500 0.500 0.500 (multiplicity 1)
Ru 0.000 0.500 0.000 (multiplicity 2)
Au 0.000 0.000 0.500 (multiplicity 1)

---

We obtain N(E_F) values of 1.92, 4.13, 2.07, 2.12 states/eV/f.u. for the records listed above, in that order.
We obtain total energy values of -62.980, -45.210, -20.408, -38.614 eV/atom for the records listed above, in that order.
We obtain ρ values of 15.8, 14.2, 3.8, 8.5 g/cm3 for the records listed above, in that order.